# 1
TlCuBr2 (PBE, relaxed); ΔE_f (raw) = -1.76 eV per formula unit
1.0
2.0856 1.2041 8.3918
-2.0856 1.2041 8.3918
0.0000 -2.4083 8.3918
Tl Cu Br
1 1 2
Cartesian
0.0000 0.0000 0.0000 Tl
0.0000 0.0000 4.9980 Cu
0.0000 0.0000 13.5801 Br
0.0000 0.0000 18.6382 Br

***

# 2
AlTc2Ru (PBE, relaxed); formation energy from the elements = -161 meV per atom
1.0
0.0000 3.0555 3.0555
3.0555 0.0000 3.0555
3.0555 3.0555 0.0000
Al Tc Ru
1 2 1
Cartesian
0.0000 0.0000 0.0000 Al
1.5277 1.5277 1.5277 Tc
3.0555 3.0555 3.0555 Tc
4.5832 4.5832 4.5832 Ru

***

# 3
NaCaTaMo2 (PBE, relaxed); formation energy from the elements = 1401 meV per atom
1.0
4.8117 0.0000 0.0000
0.0000 4.8117 0.0000
0.0000 0.0000 5.8549
Na Ca Ta Mo
1 1 1 2
Cartesian
0.0000 0.0000 0.0000 Na
2.4058 2.4058 0.0000 Ca
2.4058 2.4058 2.9274 Ta
0.0000 2.4058 2.9274 Mo
2.4058 0.0000 2.9274 Mo

***

# 4
Si2OsPt (PBE, relaxed); ΔE_f (raw) = -0.18 eV per formula unit
1.0
1.4760 0.8521 7.7175
-1.4760 0.8521 7.7175
0.0000 -1.7043 7.7175
Si Os Pt
2 1 1
Cartesian
0.0000 0.0000 0.0000 Si
0.0000 0.0000 5.7735 Si
0.0000 0.0000 11.7895 Os
0.0000 0.0000 17.1710 Pt

***

# 5
NdDyInPb (PBE, relaxed); formation energy from the elements = -471 meV per atom
1.0
-2.5180 2.5180 4.4913
2.5180 -2.5180 4.4913
2.5180 2.5180 -4.4913
Nd Dy In Pb
1 1 1 1
Cartesian
0.0000 0.0000 0.0000 Nd
0.0000 0.0000 4.4913 Dy
2.5180 0.0000 2.2456 In
0.0000 2.5180 2.2456 Pb

***

# 6
Ba3LaF (PBE, relaxed); ΔE_f (raw) = 0.53 eV per formula unit
1.0
6.5071 0.0000 0.0000
0.0000 6.5071 0.0000
0.0000 0.0000 6.5071
Ba La F
3 1 1
Cartesian
0.0000 0.0000 3.2535 Ba
0.0000 3.2535 0.0000 Ba
3.2535 0.0000 0.0000 Ba
0.0000 0.0000 0.0000 La
3.2535 3.2535 3.2535 F

***

# 7
BaSr2Li (PBE, relaxed); formation energy from the elements = 56 meV per atom
1.0
7.3729 -2.2311 0.0000
7.3729 2.2311 0.0000
-3.0422 0.0000 5.9755
Ba Sr Li
1 2 1
Cartesian
0.0000 0.0000 0.0000 Ba
6.6307 0.0000 3.3839 Sr
10.6993 0.0000 1.7174 Sr
1.7079 0.0000 4.6758 Li

***

# 8
Th3BiRuSe (PBE, relaxed); ΔE_f (raw) = -4.04 eV per formula unit
1.0
8.5517 0.0000 0.0000
0.0000 4.2618 0.0000
-3.5910 0.0000 9.1084
Th Bi Ru Se
6 2 2 2
Cartesian
0.9263 1.0655 1.3242 Th
0.3630 3.1964 4.3914 Th
-0.4884 3.1964 7.9763 Th
5.4490 1.0655 1.1321 Th
4.5977 1.0655 4.7170 Th
4.0343 3.1964 7.7842 Th
3.2283 3.1964 2.3675 Bi
1.7324 1.0655 6.7409 Bi
-2.1294 3.1964 5.5785 Ru
7.0901 1.0655 3.5299 Ru
-2.4634 1.0655 7.3812 Se
7.4240 3.1964 1.7272 Se

***

# 9
ReSiTe3 (PBE, relaxed); ΔE_f (raw) = 7.64 eV per formula unit
1.0
5.0206 0.0000 0.0000
0.0000 5.0206 0.0000
0.0000 0.0000 5.0206
Re Si Te
1 1 3
Cartesian
0.0000 0.0000 0.0000 Re
2.5103 2.5103 2.5103 Si
0.0000 2.5103 2.5103 Te
2.5103 0.0000 2.5103 Te
2.5103 2.5103 0.0000 Te

***

# 10
Cs2PrU2Se6 (PBE, relaxed); ΔE_f (raw) = -15.62 eV per formula unit
1.0
3.6847 -6.4108 0.0000
3.6847 6.4108 0.0000
-2.3987 0.0000 8.5971
Cs Pr U Se
2 1 2 6
Cartesian
3.6847 4.3039 0.0000 Cs
3.6847 -4.3039 0.0000 Cs
-1.1993 0.0000 4.2986 Pr
2.4854 2.1280 4.2986 U
2.4854 -2.1280 4.2986 U
0.0665 2.2186 5.8761 Se
1.3462 0.0000 2.7113 Se
0.0665 -2.2186 5.8761 Se
4.9043 2.2186 2.7210 Se
3.6246 0.0000 5.8858 Se
4.9043 -2.2186 2.7210 Se

***

# 11
NbNiPCl2 (PBE, relaxed); ΔE_f (raw) = 1.60 eV per formula unit
1.0
4.7778 0.0000 0.0000
0.0000 4.7778 0.0000
0.0000 0.0000 5.0039
Nb Ni P Cl
1 1 1 2
Cartesian
0.0000 0.0000 0.0000 Nb
2.3889 2.3889 2.5020 Ni
0.0000 0.0000 2.5020 P
0.0000 2.3889 0.0000 Cl
2.3889 0.0000 0.0000 Cl

***

# 12
YAgPd4 (PBE, relaxed); formation energy from the elements = -481 meV per atom
1.0
5.8801 -2.1083 0.0000
5.8801 2.1083 0.0000
-0.0125 0.0000 4.2121
Y Ag Pd
1 1 4
Cartesian
0.0000 0.0000 0.0000 Y
5.8739 0.0000 2.1060 Ag
2.0117 0.0000 2.1062 Pd
3.8921 0.0000 4.2113 Pd
7.8556 0.0000 0.0008 Pd
9.7360 0.0000 2.1058 Pd

***

Please write out number 9 again, unchanged.
ReSiTe3 (PBE, relaxed); ΔE_f (raw) = 7.64 eV per formula unit
1.0
5.0206 0.0000 0.0000
0.0000 5.0206 0.0000
0.0000 0.0000 5.0206
Re Si Te
1 1 3
Cartesian
0.0000 0.0000 0.0000 Re
2.5103 2.5103 2.5103 Si
0.0000 2.5103 2.5103 Te
2.5103 0.0000 2.5103 Te
2.5103 2.5103 0.0000 Te